1.
## PmSm4Er2Mg (PBE)

Data for an optimized crystal structure of PmSm4Er2Mg. Values from VASP.

Output
DFT formation energy: 0.07 eV per atom

```
&SYSTEM
  ibrav = 0, nat = 8, ntyp = 4
/
ATOMIC_SPECIES
Pm 145.00 Pm.upf
Sm 150.36 Sm.upf
Er 167.26 Er.upf
Mg 24.30 Mg.upf
CELL_PARAMETERS angstrom
5.796 0.000 0.000
0.000 5.796 0.000
0.000 0.000 7.580
ATOMIC_POSITIONS crystal
Pm 0.000 0.000 0.000
Sm 0.000 0.500 0.245
Sm 0.000 0.500 0.755
Sm 0.500 0.000 0.245
Sm 0.500 0.000 0.755
Er 0.000 0.000 0.500
Er 0.500 0.500 0.500
Mg 0.500 0.500 0.000
```

2.
## YCo2Cu (PBE)

Data for an optimized crystal structure of YCo2Cu. Values from VASP.

Output
DFT formation energy: 0.11 eV per atom

```
&SYSTEM
  ibrav = 0, nat = 4, ntyp = 3
/
ATOMIC_SPECIES
Y 88.91 Y.upf
Co 58.93 Co.upf
Cu 63.55 Cu.upf
CELL_PARAMETERS angstrom
-1.801 2.119 4.030
1.801 -2.119 4.030
1.801 2.119 -4.030
ATOMIC_POSITIONS crystal
Y 0.000 0.000 0.000
Co 0.268 0.768 0.500
Co 0.465 0.465 0.000
Cu 0.728 0.228 0.500
```

3.
## LiPrEuCo (PBE)

Data for an optimized crystal structure of LiPrEuCo. Values from VASP.

Output
DFT formation energy: 0.12 eV per atom

```
&SYSTEM
  ibrav = 0, nat = 4, ntyp = 4
/
ATOMIC_SPECIES
Li 6.94 Li.upf
Pr 140.91 Pr.upf
Eu 151.96 Eu.upf
Co 58.93 Co.upf
CELL_PARAMETERS angstrom
0.000 3.581 3.581
3.581 0.000 3.581
3.581 3.581 0.000
ATOMIC_POSITIONS crystal
Li 0.000 0.000 0.000
Pr 0.250 0.250 0.250
Eu 0.750 0.750 0.750
Co 0.500 0.500 0.500
```

4.
## Nd3Sm8Dy2 (PBE)

Data for an optimized crystal structure of Nd3Sm8Dy2. Values from VASP.

Output
DFT formation energy: 0.16 eV per atom

```
&SYSTEM
  ibrav = 0, nat = 13, ntyp = 3
/
ATOMIC_SPECIES
Nd 144.24 Nd.upf
Sm 150.36 Sm.upf
Dy 162.50 Dy.upf
CELL_PARAMETERS angstrom
6.601 -5.908 0.000
6.601 5.908 0.000
-2.486 0.000 5.699
ATOMIC_POSITIONS crystal
Nd 0.000 0.000 0.000
Nd 0.242 0.758 0.500
Nd 0.758 0.242 0.500
Sm 0.083 0.570 0.826
Sm 0.156 0.156 0.551
Sm 0.430 0.917 0.174
Sm 0.445 0.445 0.718
Sm 0.555 0.555 0.282
Sm 0.570 0.083 0.826
Sm 0.844 0.844 0.449
Sm 0.917 0.430 0.174
Dy 0.288 0.288 0.146
Dy 0.712 0.712 0.854
```

5.
## Sc2TlSn2 (PBE)

Data for an optimized crystal structure of Sc2TlSn2. Values from VASP.

Output
DFT formation energy: -0.36 eV per atom

```
&SYSTEM
  ibrav = 0, nat = 10, ntyp = 3
/
ATOMIC_SPECIES
Sc 44.96 Sc.upf
Tl 204.38 Tl.upf
Sn 118.71 Sn.upf
CELL_PARAMETERS angstrom
8.607 0.000 0.000
0.000 8.607 0.000
0.000 0.000 3.405
ATOMIC_POSITIONS crystal
Sc 0.132 0.368 0.000
Sc 0.368 0.868 0.000
Sc 0.632 0.132 0.000
Sc 0.868 0.632 0.000
Tl 0.000 0.000 0.000
Tl 0.500 0.500 0.000
Sn 0.167 0.667 0.500
Sn 0.333 0.167 0.500
Sn 0.667 0.833 0.500
Sn 0.833 0.333 0.500
```

6.
## Ta4AgS8 (PBE)

Data for an optimized crystal structure of Ta4AgS8. Values from VASP.

Output
energy: -7.38 eV per atom

```
&SYSTEM
  ibrav = 0, nat = 13, ntyp = 3
/
ATOMIC_SPECIES
Ta 180.95 Ta.upf
Ag 107.87 Ag.upf
S 32.06 S.upf
CELL_PARAMETERS angstrom
5.817 0.000 0.000
0.000 3.363 0.000
-1.929 0.000 13.855
ATOMIC_POSITIONS crystal
Ta 0.000 0.000 0.000
Ta 0.152 0.000 0.472
Ta 0.518 0.500 0.000
Ta 0.678 0.500 0.472
Ag 0.435 0.500 0.758
S 0.299 0.000 0.888
S 0.300 0.500 0.365
S 0.370 0.500 0.583
S 0.377 0.000 0.108
S 0.792 0.000 0.358
S 0.812 0.500 0.885
S 0.868 0.000 0.588
S 0.881 0.500 0.113
```

7.
## YbSb2S4 (PBE)

Data for an optimized crystal structure of YbSb2S4. Values from VASP.

Output
energy: -4.50 eV per atom

```
&SYSTEM
  ibrav = 0, nat = 28, ntyp = 3
/
ATOMIC_SPECIES
Yb 173.04 Yb.upf
Sb 121.76 Sb.upf
S 32.06 S.upf
CELL_PARAMETERS angstrom
11.708 0.000 0.000
0.000 3.931 0.000
0.000 0.000 14.230
ATOMIC_POSITIONS crystal
Yb 0.228 0.250 0.154
Yb 0.272 0.750 0.654
Yb 0.728 0.250 0.346
Yb 0.772 0.750 0.846
Sb 0.062 0.750 0.392
Sb 0.122 0.750 0.922
Sb 0.378 0.250 0.422
Sb 0.438 0.250 0.892
Sb 0.562 0.750 0.108
Sb 0.622 0.750 0.578
Sb 0.878 0.250 0.078
Sb 0.938 0.250 0.608
S 0.024 0.750 0.705
S 0.053 0.750 0.093
S 0.189 0.250 0.519
S 0.245 0.750 0.300
S 0.255 0.250 0.800
S 0.311 0.750 0.019
S 0.447 0.250 0.593
S 0.476 0.250 0.205
S 0.524 0.750 0.795
S 0.553 0.750 0.407
S 0.689 0.250 0.981
S 0.745 0.750 0.200
S 0.755 0.250 0.700
S 0.811 0.750 0.481
S 0.947 0.250 0.907
S 0.976 0.250 0.295
```

8.
## Nb2PdRh4 (PBE)

Data for an optimized crystal structure of Nb2PdRh4. Values from VASP.

Output
DFT formation energy: -0.14 eV per atom

```
&SYSTEM
  ibrav = 0, nat = 14, ntyp = 3
/
ATOMIC_SPECIES
Nb 92.91 Nb.upf
Pd 106.42 Pd.upf
Rh 102.91 Rh.upf
CELL_PARAMETERS angstrom
4.675 -2.632 0.000
4.675 2.632 0.000
0.000 0.000 9.233
ATOMIC_POSITIONS crystal
Nb 0.166 0.166 0.000
Nb 0.334 0.334 0.500
Nb 0.666 0.666 0.500
Nb 0.834 0.834 0.000
Pd 0.000 0.000 0.500
Pd 0.500 0.500 0.000
Rh 0.060 0.440 0.750
Rh 0.091 0.909 0.784
Rh 0.409 0.591 0.284
Rh 0.440 0.060 0.250
Rh 0.560 0.940 0.750
Rh 0.591 0.409 0.716
Rh 0.909 0.091 0.216
Rh 0.940 0.560 0.250
```

9.
## Ce2PmMnS5 (PBE)

Data for an optimized crystal structure of Ce2PmMnS5. Values from VASP.

Output
energy: -6.84 eV per atom

```
&SYSTEM
  ibrav = 0, nat = 18, ntyp = 4
/
ATOMIC_SPECIES
Ce 140.12 Ce.upf
Pm 145.00 Pm.upf
Mn 54.94 Mn.upf
S 32.06 S.upf
CELL_PARAMETERS angstrom
1.959 -8.355 0.000
1.959 8.355 0.000
0.000 0.000 12.056
ATOMIC_POSITIONS crystal
Ce 0.118 0.882 0.500
Ce 0.123 0.877 0.154
Ce 0.877 0.123 0.654
Ce 0.882 0.118 0.000
Pm 0.181 0.819 0.835
Pm 0.819 0.181 0.335
Mn 0.453 0.547 0.230
Mn 0.547 0.453 0.730
S 0.011 0.989 0.822
S 0.301 0.699 0.501
S 0.318 0.682 0.164
S 0.347 0.653 0.826
S 0.492 0.508 0.558
S 0.508 0.492 0.058
S 0.653 0.347 0.326
S 0.682 0.318 0.664
S 0.699 0.301 0.001
S 0.989 0.011 0.322
```

10.
## Th2Zn3Au (PBE)

Data for an optimized crystal structure of Th2Zn3Au. Values from VASP.

Output
DFT formation energy: -0.41 eV per atom

```
&SYSTEM
  ibrav = 0, nat = 12, ntyp = 3
/
ATOMIC_SPECIES
Th 232.04 Th.upf
Zn 65.41 Zn.upf
Au 196.97 Au.upf
CELL_PARAMETERS angstrom
0.000 4.624 8.043
3.536 0.000 8.043
3.536 4.624 0.000
ATOMIC_POSITIONS crystal
Th 0.241 0.759 0.759
Th 0.250 0.250 0.250
Th 0.750 0.750 0.750
Th 0.759 0.241 0.241
Zn 0.174 0.662 0.338
Zn 0.338 0.338 0.662
Zn 0.338 0.826 0.174
Zn 0.662 0.174 0.826
Zn 0.662 0.662 0.338
Zn 0.826 0.338 0.662
Au 0.168 0.168 0.832
Au 0.832 0.832 0.168
```

11.
## K2YCd (PBE)

Data for an optimized crystal structure of K2YCd. Values from VASP.

Output
DFT formation energy: 0.15 eV per atom

```
&SYSTEM
  ibrav = 0, nat = 4, ntyp = 3
/
ATOMIC_SPECIES
K 39.10 K.upf
Y 88.91 Y.upf
Cd 112.41 Cd.upf
CELL_PARAMETERS angstrom
-1.840 2.556 10.051
1.840 -2.556 10.051
1.840 2.556 -10.051
ATOMIC_POSITIONS crystal
K 0.159 0.159 0.000
K 0.841 0.841 0.000
Y 0.500 0.000 0.500
Cd 0.000 0.500 0.500
```

12.
## NaUGe (PBE)

Data for an optimized crystal structure of NaUGe. Values from VASP.

Output
DFT formation energy: -0.05 eV per atom

```
&SYSTEM
  ibrav = 0, nat = 6, ntyp = 3
/
ATOMIC_SPECIES
Na 22.99 Na.upf
U 238.03 U.upf
Ge 72.64 Ge.upf
CELL_PARAMETERS angstrom
4.696 -1.843 0.000
4.696 1.843 0.000
-2.309 0.000 7.771
ATOMIC_POSITIONS crystal
Na 0.153 0.153 0.082
Na 0.847 0.847 0.918
U 0.175 0.175 0.546
U 0.825 0.825 0.454
Ge 0.494 0.494 0.279
Ge 0.506 0.506 0.721
```

13.
## Cs2MnBeCl6 (PBE)

Data for an optimized crystal structure of Cs2MnBeCl6. Values from VASP.

Output
energy: -4.00 eV per atom

```
&SYSTEM
  ibrav = 0, nat = 10, ntyp = 4
/
ATOMIC_SPECIES
Cs 132.91 Cs.upf
Mn 54.94 Mn.upf
Be 9.01 Be.upf
Cl 35.45 Cl.upf
CELL_PARAMETERS angstrom
-3.502 3.502 5.558
3.502 -3.502 5.558
3.502 3.502 -5.558
ATOMIC_POSITIONS crystal
Cs 0.250 0.750 0.500
Cs 0.750 0.250 0.500
Mn 0.000 0.000 0.000
Be 0.500 0.500 0.000
Cl 0.210 0.210 0.000
Cl 0.280 0.280 0.560
Cl 0.280 0.720 0.000
Cl 0.720 0.280 0.000
Cl 0.720 0.720 0.440
Cl 0.790 0.790 0.000
```

14.
## CaNiRh2 (PBE)

Data for an optimized crystal structure of CaNiRh2. Values from VASP.

Output
DFT formation energy: 0.29 eV per atom

```
&SYSTEM
  ibrav = 0, nat = 4, ntyp = 3
/
ATOMIC_SPECIES
Ca 40.08 Ca.upf
Ni 58.69 Ni.upf
Rh 102.91 Rh.upf
CELL_PARAMETERS angstrom
1.472 0.850 8.601
-1.472 0.850 8.601
0.000 -1.700 8.601
ATOMIC_POSITIONS crystal
Ca 0.000 0.000 0.000
Ni 0.500 0.500 0.500
Rh 0.242 0.242 0.242
Rh 0.758 0.758 0.758
```

15.
## FeSbAu (PBE)

Data for an optimized crystal structure of FeSbAu. Values from VASP.

Output
energy: -4.94 eV per atom

```
&SYSTEM
  ibrav = 0, nat = 3, ntyp = 3
/
ATOMIC_SPECIES
Fe 55.84 Fe.upf
Sb 121.76 Sb.upf
Au 196.97 Au.upf
CELL_PARAMETERS angstrom
4.177 0.000 0.000
-2.088 3.617 0.000
0.000 0.000 3.958
ATOMIC_POSITIONS crystal
Fe 0.000 0.000 0.000
Sb 0.333 0.667 0.327
Au 0.667 0.333 0.739
```

16.
## BeBiIO2 (PBE)

Data for an optimized crystal structure of BeBiIO2. Values from VASP.

Output
energy: -3.71 eV per atom

```
&SYSTEM
  ibrav = 0, nat = 5, ntyp = 4
/
ATOMIC_SPECIES
Be 9.01 Be.upf
Bi 208.98 Bi.upf
I 126.90 I.upf
O 16.00 O.upf
CELL_PARAMETERS angstrom
4.207 0.000 0.000
0.000 4.207 0.000
0.000 0.000 7.050
ATOMIC_POSITIONS crystal
Be 0.000 0.000 0.000
Bi 0.500 0.500 0.500
I 0.500 0.500 0.000
O 0.000 0.500 0.500
O 0.500 0.000 0.500
```

17.
## SmEr2Tm (PBE)

Data for an optimized crystal structure of SmEr2Tm. Values from VASP.

Output
DFT formation energy: 0.01 eV per atom

```
&SYSTEM
  ibrav = 0, nat = 4, ntyp = 3
/
ATOMIC_SPECIES
Sm 150.36 Sm.upf
Er 167.26 Er.upf
Tm 168.93 Tm.upf
CELL_PARAMETERS angstrom
-1.807 5.614 3.116
1.807 -5.614 3.116
1.807 5.614 -3.116
ATOMIC_POSITIONS crystal
Sm 0.000 0.000 0.000
Er 0.416 0.664 0.752
Er 0.912 0.664 0.248
Tm 0.497 0.997 0.500
```

18.
## Hf4GaAs (PBE)

Data for an optimized crystal structure of Hf4GaAs. Values from VASP.

Output
DFT formation energy: -0.17 eV per atom

```
&SYSTEM
  ibrav = 0, nat = 12, ntyp = 3
/
ATOMIC_SPECIES
Hf 178.49 Hf.upf
Ga 69.72 Ga.upf
As 74.92 As.upf
CELL_PARAMETERS angstrom
6.327 0.000 0.000
0.000 6.511 0.000
-0.344 0.000 6.353
ATOMIC_POSITIONS crystal
Hf 0.139 0.143 0.150
Hf 0.139 0.357 0.650
Hf 0.360 0.648 0.130
Hf 0.360 0.852 0.630
Hf 0.640 0.148 0.370
Hf 0.640 0.352 0.870
Hf 0.861 0.643 0.350
Hf 0.861 0.857 0.850
Ga 0.500 0.000 0.000
Ga 0.500 0.500 0.500
As 0.000 0.000 0.500
As 0.000 0.500 0.000
```

19.
## Mg8TlIn6 (PBE)

Data for an optimized crystal structure of Mg8TlIn6. Values from VASP.

Output
DFT formation energy: 0.00 eV per atom

```
&SYSTEM
  ibrav = 0, nat = 15, ntyp = 3
/
ATOMIC_SPECIES
Mg 24.30 Mg.upf
Tl 204.38 Tl.upf
In 114.82 In.upf
CELL_PARAMETERS angstrom
4.163 2.404 6.253
-4.163 2.404 6.253
0.000 -4.807 6.253
ATOMIC_POSITIONS crystal
Mg 0.140 0.387 0.617
Mg 0.243 0.243 0.243
Mg 0.383 0.860 0.613
Mg 0.387 0.617 0.140
Mg 0.613 0.383 0.860
Mg 0.617 0.140 0.387
Mg 0.757 0.757 0.757
Mg 0.860 0.613 0.383
Tl 0.500 0.500 0.500
In 0.066 0.894 0.350
In 0.106 0.650 0.934
In 0.350 0.066 0.894
In 0.650 0.934 0.106
In 0.894 0.350 0.066
In 0.934 0.106 0.650
```

20.
## Zr2MnMo (PBE)

Data for an optimized crystal structure of Zr2MnMo. Values from VASP.

Output
DFT formation energy: 0.55 eV per atom

```
&SYSTEM
  ibrav = 0, nat = 8, ntyp = 3
/
ATOMIC_SPECIES
Zr 91.22 Zr.upf
Mn 54.94 Mn.upf
Mo 95.94 Mo.upf
CELL_PARAMETERS angstrom
-3.636 3.636 2.879
3.636 -3.636 2.879
3.636 3.636 -2.879
ATOMIC_POSITIONS crystal
Zr 0.116 0.625 0.991
Zr 0.375 0.366 0.491
Zr 0.634 0.125 0.009
Zr 0.875 0.884 0.509
Mn 0.000 0.000 0.000
Mn 0.750 0.250 0.500
Mo 0.250 0.750 0.500
Mo 0.500 0.500 0.000
```